# 1
Entry from the Alexandria database: YTa2Cu2 after structural relaxation (PBE-GGA).

Properties
Its calculated formation energy is 29.0 kJ per mole of atoms.

a b c (Å): 7.6481 7.6481 3.0199
angles (deg): 90.00 90.00 90.00
Closest atoms and distances in Å follow each position.
Atoms (fractional coordinates):
Y (0.0000, 0.0000, 0.0000)  2 Y 3.02, 4 Cu 3.04, 8 Ta 3.22
Y (0.5000, 0.5000, 0.0000)  2 Y 3.02, 4 Cu 3.04, 8 Ta 3.22
Ta (0.1689, 0.3311, 0.5000)  6 Cu 2.71-2.72, 2 Ta 3.02
Ta (0.3311, 0.8311, 0.5000)  6 Cu 2.71-2.72, 2 Ta 3.02
Ta (0.6689, 0.1689, 0.5000)  6 Cu 2.71-2.72, 2 Ta 3.02
Ta (0.8311, 0.6689, 0.5000)  6 Cu 2.71-2.72, 2 Ta 3.02
Cu (0.1218, 0.6218, 0.0000)  1 Cu 2.63, 6 Ta 2.71-2.72
Cu (0.3782, 0.1218, 0.0000)  1 Cu 2.63, 6 Ta 2.71-2.72
Cu (0.6218, 0.8782, 0.0000)  1 Cu 2.63, 6 Ta 2.71-2.72
Cu (0.8782, 0.3782, 0.0000)  1 Cu 2.63, 6 Ta 2.71-2.72


# 2
Entry from the Alexandria database: CaAcZnIr after structural relaxation (PBE-GGA).

Properties
Its calculated formation energy is -29.5 kJ per mole of atoms.

a b c (Å): 5.1876 5.1876 5.1876
angles (deg): 60.00 60.00 60.00
Closest atoms and distances in Å follow each position.
Atoms (fractional coordinates):
Ca (0.0000, 0.0000, 0.0000)  4 Ir 3.18, 4 Zn 3.18
Ac (0.5000, 0.5000, 0.5000)  4 Ir 3.18, 4 Zn 3.18
Zn (0.2500, 0.2500, 0.2500)  4 Ac 3.18, 4 Ca 3.18
Ir (0.7500, 0.7500, 0.7500)  4 Ac 3.18, 4 Ca 3.18


# 3
Entry from the Alexandria database: USeBr2 after structural relaxation (PBE-GGA).

Properties
The energy relative to the elements, uncorrected comes out at -1148 meV per atom.

a b c (Å): 7.2178 6.7762 12.0550
angles (deg): 90.00 90.00 90.00
Closest atoms and distances in Å follow each position.
Atoms (fractional coordinates):
U (0.2500, 0.0000, 0.1001)  2 Se 2.71, 4 Br 2.85-2.90
U (0.2500, 0.5000, 0.3999)  2 Se 2.71, 4 Br 2.85-2.90
U (0.7500, 0.0000, 0.8999)  2 Se 2.71, 4 Br 2.85-2.90
U (0.7500, 0.5000, 0.6001)  2 Se 2.71, 4 Br 2.85-2.90
Se (0.0986, 0.2500, 0.2500)  2 U 2.71
Se (0.4014, 0.7500, 0.2500)  2 U 2.71
Se (0.5986, 0.2500, 0.7500)  2 U 2.71
Se (0.9014, 0.7500, 0.7500)  2 U 2.71
Br (0.0789, 0.2294, 0.9244)  2 U 2.85-2.90
Br (0.0789, 0.2706, 0.5756)  2 U 2.85-2.90
Br (0.4211, 0.7294, 0.5756)  2 U 2.85-2.90
Br (0.4211, 0.7706, 0.9244)  2 U 2.85-2.90
Br (0.5789, 0.2294, 0.0756)  2 U 2.85-2.90
Br (0.5789, 0.2706, 0.4244)  2 U 2.85-2.90
Br (0.9211, 0.7294, 0.4244)  2 U 2.85-2.90
Br (0.9211, 0.7706, 0.0756)  2 U 2.85-2.90


# 4
Entry from the Alexandria database: ScAl3H after structural relaxation (PBE-GGA).

Properties
For the total energy, the calculation gives -4.38 eV per atom.

a b c (Å): 4.1567 4.1567 4.1567
angles (deg): 90.00 90.00 90.00
Closest atoms and distances in Å follow each position.
Atoms (fractional coordinates):
Sc (0.0000, 0.0000, 0.0000)  12 Al 2.94
Al (0.0000, 0.5000, 0.5000)  2 H 2.08
Al (0.5000, 0.0000, 0.5000)  2 H 2.08
Al (0.5000, 0.5000, 0.0000)  2 H 2.08
H (0.5000, 0.5000, 0.5000)  6 Al 2.08


# 5
Entry from the Alexandria database: KLi3Br3 after structural relaxation (PBE-GGA).

Properties
The energy relative to the elements, uncorrected comes out at -1202 meV per atom.

a b c (Å): 7.4977 7.4977 7.4977
angles (deg): 90.00 90.00 90.00
Closest atoms and distances in Å follow each position.
Atoms (fractional coordinates):
K (0.0000, 0.0000, 0.0000)  12 Li 4.19, 12 Br 4.19
K (0.5000, 0.5000, 0.5000)  12 Li 4.19, 12 Br 4.19
Li (0.0000, 0.2500, 0.5000)  4 Br 2.65
Li (0.0000, 0.7500, 0.5000)  4 Br 2.65
Li (0.2500, 0.5000, 0.0000)  4 Br 2.65
Li (0.5000, 0.0000, 0.2500)  4 Br 2.65
Li (0.5000, 0.0000, 0.7500)  4 Br 2.65
Li (0.7500, 0.5000, 0.0000)  4 Br 2.65
Br (0.0000, 0.5000, 0.2500)  4 Li 2.65
Br (0.0000, 0.5000, 0.7500)  4 Li 2.65
Br (0.2500, 0.0000, 0.5000)  4 Li 2.65
Br (0.5000, 0.2500, 0.0000)  4 Li 2.65
Br (0.5000, 0.7500, 0.0000)  4 Li 2.65
Br (0.7500, 0.0000, 0.5000)  4 Li 2.65


# 6
Entry from the Alexandria database: SiGeMoSe2 after structural relaxation (PBE-GGA).

Properties
The energy relative to the elements, uncorrected comes out at 1099 meV per atom.

a b c (Å): 5.0246 5.0246 4.6067
angles (deg): 90.00 90.00 90.00
Closest atoms and distances in Å follow each position.
Atoms (fractional coordinates):
Si (0.0000, 0.0000, 0.0000)  2 Ge 2.30
Ge (0.0000, 0.0000, 0.5000)  2 Si 2.30, 4 Se 2.51
Mo (0.5000, 0.5000, 0.0000)  8 Se 3.41, 4 Si 3.55
Se (0.0000, 0.5000, 0.5000)  2 Ge 2.51
Se (0.5000, 0.0000, 0.5000)  2 Ge 2.51


What are the DOS at the Fermi energy values for these records? In order: 5.2, 4.3, 3.5, 2.0, 2.0, 3.6 states/eV/f.u..
What are the M_tot values for these records? In order: 0.0, 0.0, 2.0, 0.0, 0.0, 3.5 μB per formula unit.
What are the ρ values for these records? In order: 10.87, 8.83, 5.37, 2.93, 2.36, 5.06 g cm⁻³.